A relaxed structure of P2Au. Source: Alexandria via LeMat-Bulk, functional GGA-PBE.

Results
Density of states at the Fermi level in states/eV/f.u.: 1.32
Energy of formation from the pure elements in eV/atom: -0.052
DFT total energy in eV for the cell shown: -14.25

a = 3.260 Å, b = 3.896 Å, c = 4.878 Å
α = 90.00°, β = 108.86°, γ = 90.00°
Atoms (fractional coordinates):
P (0.173, 0.000, 0.340)
P (0.827, 0.000, 0.660)
Au (0.000, 0.500, 0.000)

=====

A relaxed structure of Rb2PbAu2. Source: Alexandria via LeMat-Bulk, functional GGA-PBE.

Results
Offset from the most stable computed form in meV/atom: 340
Density of states at the Fermi level in states/eV/f.u.: 1.64
Energy of formation from the pure elements in eV/atom: 0.079
DFT total energy in eV for the cell shown: -23.60

a = 9.858 Å, b = 9.858 Å, c = 3.490 Å
α = 90.00°, β = 90.00°, γ = 90.00°
Atoms (fractional coordinates):
Rb (0.132, 0.368, 0.000)
Rb (0.368, 0.868, 0.000)
Rb (0.632, 0.132, 0.000)
Rb (0.868, 0.632, 0.000)
Pb (0.000, 0.000, 0.000)
Pb (0.500, 0.500, 0.000)
Au (0.169, 0.669, 0.500)
Au (0.331, 0.169, 0.500)
Au (0.669, 0.831, 0.500)
Au (0.831, 0.331, 0.500)

=====

A relaxed structure of Li2Al2Pd3. Source: Alexandria via LeMat-Bulk, functional GGA-PBE.

Results
Density of states at the Fermi level in states/eV/f.u.: 1.65
Energy of formation from the pure elements in eV/atom: -0.734
DFT total energy in eV for the cell shown: -32.03

a = 4.248 Å, b = 4.258 Å, c = 6.807 Å
α = 71.83°, β = 71.96°, γ = 60.44°
Atoms (fractional coordinates):
Li (0.142, 0.143, 0.072)
Li (0.858, 0.857, 0.928)
Al (0.286, 0.285, 0.644)
Al (0.714, 0.715, 0.356)
Pd (0.000, 0.000, 0.500)
Pd (0.422, 0.423, 0.233)
Pd (0.578, 0.577, 0.767)

=====

A relaxed structure of ReN. Source: Alexandria via LeMat-Bulk, functional GGA-PBE.

Results
Offset from the most stable computed form in meV/atom: 1019
Density of states at the Fermi level in states/eV/f.u.: 3.11
DFT total energy in eV for the cell shown: -74.59
ΔE_f (raw) in meV/atom: 1063

a = 4.356 Å, b = 4.356 Å, c = 4.356 Å
α = 90.00°, β = 90.00°, γ = 90.00°
Atoms (fractional coordinates):
Re (0.000, 0.000, 0.000)
Re (0.000, 0.500, 0.500)
Re (0.500, 0.000, 0.500)
Re (0.500, 0.500, 0.000)
N (0.000, 0.000, 0.500)
N (0.000, 0.500, 0.000)
N (0.500, 0.000, 0.000)
N (0.500, 0.500, 0.500)